Entry 1:
Zn2NiPt | GGA-PBEsol | optimized geometry

Cell and atoms, written as POSCAR:
```
Zn2NiPt
1.0
-1.939 1.939 3.414
1.939 -1.939 3.414
1.939 1.939 -3.414
Zn Ni Pt
2 1 1
direct
0.250 0.750 0.500
0.750 0.250 0.500
0.000 0.000 0.000
0.500 0.500 0.000
```

Formation enthalpy at 0 K in eV per atom: -0.43
Magnetization in μB per atom: 0.00



Entry 2:
Zn2NiPt | GGA-PBEsol | optimized geometry

Cell and atoms, written as POSCAR:
```
Zn2NiPt
1.0
2.805 0.000 0.000
0.000 2.805 0.000
0.000 0.000 6.482
Zn Ni Pt
2 1 1
direct
0.000 0.000 0.230
0.000 0.000 0.770
0.500 0.500 0.000
0.500 0.500 0.500
```

Formation enthalpy at 0 K in eV per atom: -0.40
Magnetization in μB per atom: 0.00



Entry 3:
Zn2NiPt | GGA-PBEsol | optimized geometry

Cell and atoms, written as POSCAR:
```
Zn2NiPt
1.0
2.778 0.000 0.000
0.000 3.354 0.000
0.000 0.000 5.492
Zn Ni Pt
2 1 1
direct
0.000 0.000 0.234
0.000 0.000 0.766
0.500 0.500 0.000
0.500 0.500 0.500
```

Formation enthalpy at 0 K in eV per atom: -0.41
Magnetization in μB per atom: 0.00



Entry 4:
ZnNiPt2 | GGA-PBEsol | optimized geometry

Cell and atoms, written as POSCAR:
```
ZnNiPt2
1.0
2.756 -3.516 0.000
2.756 3.516 0.000
0.000 0.000 2.751
Zn Ni Pt
1 1 2
direct
0.000 0.000 0.000
0.500 0.500 0.000
0.000 0.500 0.500
0.500 0.000 0.500
```

Formation enthalpy at 0 K in eV per atom: -0.33
Magnetization in μB per atom: 0.08



Entry 5:
Zn2NiPt | GGA-PBEsol | optimized geometry

Cell and atoms, written as POSCAR:
```
Zn2NiPt
1.0
2.802 0.000 0.000
0.000 4.250 0.000
0.000 0.000 4.342
Zn Ni Pt
2 1 1
direct
0.000 0.000 0.000
0.000 0.500 0.410
0.500 0.500 0.916
0.500 0.000 0.505
```

Formation enthalpy at 0 K in eV per atom: -0.36
Magnetization in μB per atom: 0.00



Entry 6:
ZnNiPt2 | GGA-PBEsol | optimized geometry

Cell and atoms, written as POSCAR:
```
ZnNiPt2
1.0
-1.881 1.881 3.817
1.881 -1.881 3.817
1.881 1.881 -3.817
Zn Ni Pt
1 1 2
direct
0.000 0.000 0.000
0.750 0.250 0.500
0.250 0.750 0.500
0.500 0.500 0.000
```

Formation enthalpy at 0 K in eV per atom: -0.23
Magnetization in μB per atom: 0.18



Entry 7:
ZnNi2Pt | GGA-PBEsol | optimized geometry

Cell and atoms, written as POSCAR:
```
ZnNi2Pt
1.0
-1.848 1.848 3.579
1.848 -1.848 3.579
1.848 1.848 -3.579
Zn Ni Pt
1 2 1
direct
0.000 0.000 0.000
0.250 0.750 0.500
0.750 0.250 0.500
0.500 0.500 0.000
```

Formation enthalpy at 0 K in eV per atom: -0.21
Magnetization in μB per atom: 0.20



Entry 8:
ZnNi2Pt | GGA-PBEsol | optimized geometry

Cell and atoms, written as POSCAR:
```
ZnNi2Pt
1.0
4.357 0.000 0.000
0.000 2.681 0.000
-1.232 0.000 4.201
Zn Ni Pt
1 2 1
direct
0.000 0.000 0.000
0.500 0.000 0.500
0.500 0.500 0.000
0.000 0.500 0.500
```

Formation enthalpy at 0 K in eV per atom: -0.20
Magnetization in μB per atom: 0.18



Entry 9:
Zn2NiPt | GGA-PBEsol | optimized geometry

Cell and atoms, written as POSCAR:
```
Zn2NiPt
1.0
2.738 -3.387 0.000
2.738 3.387 0.000
0.000 0.000 2.786
Zn Ni Pt
2 1 1
direct
0.000 0.500 0.000
0.500 0.000 0.000
0.000 0.000 0.500
0.500 0.500 0.500
```

Formation enthalpy at 0 K in eV per atom: -0.39
Magnetization in μB per atom: 0.00



Entry 10:
ZnNi2Pt | GGA-PBEsol | optimized geometry

Cell and atoms, written as POSCAR:
```
ZnNi2Pt
1.0
2.624 -3.508 0.000
2.624 3.508 0.000
0.000 0.000 2.647
Zn Ni Pt
1 2 1
direct
0.000 0.000 0.000
0.000 0.500 0.500
0.500 0.000 0.500
0.500 0.500 0.000
```

Formation enthalpy at 0 K in eV per atom: -0.23
Magnetization in μB per atom: 0.00



Entry 11:
ZrNiPt2 | GGA-PBEsol | optimized geometry

Cell and atoms, written as POSCAR:
```
ZrNiPt2
1.0
0.000 3.130 3.130
3.130 0.000 3.130
3.130 3.130 0.000
Zr Ni Pt
1 1 2
direct
0.000 0.000 0.000
0.750 0.750 0.750
0.250 0.250 0.250
0.500 0.500 0.500
```

Formation enthalpy at 0 K in eV per atom: -0.60
Magnetization in μB per atom: 0.00



Entry 12:
Zr2Ni2Pt | GGA-PBEsol | optimized geometry

Cell and atoms, written as POSCAR:
```
Zr2Ni2Pt
1.0
6.838 0.000 0.000
0.000 6.838 0.000
0.000 0.000 3.294
Zr Ni Pt
4 4 2
direct
0.177 0.323 0.000
0.323 0.823 0.000
0.677 0.177 0.000
0.823 0.677 0.000
0.125 0.625 0.500
0.375 0.125 0.500
0.625 0.875 0.500
0.875 0.375 0.500
0.000 0.000 0.500
0.500 0.500 0.500
```

Formation enthalpy at 0 K in eV per atom: -0.72
Magnetization in μB per atom: 0.00



Entry 13:
ZrNiPt2 | GGA-PBEsol | optimized geometry

Cell and atoms, written as POSCAR:
```
ZrNiPt2
1.0
-1.941 1.941 3.994
1.941 -1.941 3.994
1.941 1.941 -3.994
Zr Ni Pt
1 1 2
direct
0.000 0.000 0.000
0.750 0.250 0.500
0.250 0.750 0.500
0.500 0.500 0.000
```

Formation enthalpy at 0 K in eV per atom: -0.82
Magnetization in μB per atom: 0.00



Entry 14:
ZrNi2Pt | GGA-PBEsol | optimized geometry

Cell and atoms, written as POSCAR:
```
ZrNi2Pt
1.0
-1.881 1.881 3.931
1.881 -1.881 3.931
1.881 1.881 -3.931
Zr Ni Pt
1 2 1
direct
0.000 0.000 0.000
0.250 0.750 0.500
0.500 0.500 0.000
0.750 0.250 0.500
```

Formation enthalpy at 0 K in eV per atom: -0.64
Magnetization in μB per atom: 0.00



Entry 15:
ZrNi2Pt | GGA-PBEsol | optimized geometry

Cell and atoms, written as POSCAR:
```
ZrNi2Pt
1.0
-1.930 1.930 3.709
1.930 -1.930 3.709
1.930 1.930 -3.709
Zr Ni Pt
1 2 1
direct
0.000 0.000 0.000
0.250 0.750 0.500
0.750 0.250 0.500
0.500 0.500 0.000
```

Formation enthalpy at 0 K in eV per atom: -0.64
Magnetization in μB per atom: 0.00



Entry 16:
PuSi2Ni2 | GGA-PBEsol | optimized geometry

Cell and atoms, written as POSCAR:
```
PuSi2Ni2
1.0
-1.945 1.945 4.786
1.945 -1.945 4.786
1.945 1.945 -4.786
Pu Si Ni
1 2 2
direct
0.000 0.000 0.000
0.375 0.375 0.000
0.625 0.625 0.000
0.250 0.750 0.500
0.750 0.250 0.500
```

Magnetization in μB per atom: 1.00
ΔE_f (raw) in kJ/mol of formula units: -290



Entry 17:
RbReNi3 | GGA-PBEsol | optimized geometry

Cell and atoms, written as POSCAR:
```
RbReNi3
1.0
4.620 0.000 0.000
0.000 4.620 0.000
0.000 0.000 4.620
Rb Re Ni
1 1 3
direct
0.000 0.000 0.000
0.500 0.500 0.500
0.000 0.500 0.500
0.500 0.000 0.500
0.500 0.500 0.000
```

Formation enthalpy at 0 K in eV per atom: 1.26
Magnetization in μB per atom: 0.00



Entry 18:
RbZnNiRh2 | GGA-PBEsol | optimized geometry

Cell and atoms, written as POSCAR:
```
RbZnNiRh2
1.0
4.661 0.000 0.000
0.000 4.661 0.000
0.000 0.000 5.066
Rb Zn Ni Rh
1 1 1 2
direct
0.000 0.000 0.000
0.000 0.000 0.500
0.500 0.500 0.500
0.000 0.500 0.000
0.500 0.000 0.000
```

Formation enthalpy at 0 K in eV per atom: 2.48
Magnetization in μB per atom: 0.18



Entry 19:
RbNiS2 | GGA-PBEsol | optimized geometry

Cell and atoms, written as POSCAR:
```
RbNiS2
1.0
-3.472 3.472 3.792
3.472 -3.472 3.792
3.472 3.472 -3.792
Rb Ni S
2 2 4
direct
0.000 0.000 0.000
0.750 0.250 0.500
0.250 0.750 0.500
0.500 0.500 0.000
0.259 0.625 0.134
0.375 0.509 0.634
0.491 0.125 0.866
0.875 0.741 0.366
```

Magnetization in μB per atom: 0.00
ΔE_f (raw) in kJ/mol of formula units: -232



Entry 20:
RbNiSb2 | GGA-PBEsol | optimized geometry

Cell and atoms, written as POSCAR:
```
RbNiSb2
1.0
0.000 3.610 3.610
3.610 0.000 3.610
3.610 3.610 0.000
Rb Ni Sb
1 1 2
direct
0.000 0.000 0.000
0.500 0.500 0.500
0.250 0.250 0.250
0.750 0.750 0.750
```

Magnetization in μB per atom: 0.00
ΔE_f (raw) in kJ/mol of formula units: 183



Entry 21:
RbNi3Sb | GGA-PBEsol | optimized geometry

Cell and atoms, written as POSCAR:
```
RbNi3Sb
1.0
4.797 0.000 0.000
0.000 4.797 0.000
0.000 0.000 4.797
Rb Ni Sb
1 3 1
direct
0.000 0.000 0.000
0.000 0.500 0.500
0.500 0.000 0.500
0.500 0.500 0.000
0.500 0.500 0.500
```

Magnetization in μB per atom: 0.32
ΔE_f (raw) in kJ/mol of formula units: 331



Entry 22:
Rb2ScTaNi | GGA-PBEsol | optimized geometry

Cell and atoms, written as POSCAR:
```
Rb2ScTaNi
1.0
6.616 0.000 0.000
0.000 6.616 0.000
0.000 0.000 4.241
Rb Sc Ta Ni
2 1 1 1
direct
0.000 0.500 0.000
0.500 0.000 0.000
0.000 0.000 0.000
0.500 0.500 0.500
0.000 0.000 0.500
```

Formation enthalpy at 0 K in eV per atom: 1.95
Magnetization in μB per atom: 0.79



Entry 23:
RbNiSe2 | GGA-PBEsol | optimized geometry

Cell and atoms, written as POSCAR:
```
RbNiSe2
1.0
0.000 3.499 3.499
3.499 0.000 3.499
3.499 3.499 0.000
Rb Ni Se
1 1 2
direct
0.000 0.000 0.000
0.500 0.500 0.500
0.250 0.250 0.250
0.750 0.750 0.750
```

Magnetization in μB per atom: 0.44
ΔE_f (raw) in kJ/mol of formula units: 123



Entry 24:
Rb2Ni3Se4 | GGA-PBEsol | optimized geometry

Cell and atoms, written as POSCAR:
```
Rb2Ni3Se4
1.0
0.000 5.233 13.633
3.000 0.000 13.633
3.000 5.233 0.000
Rb Ni Se
4 6 8
direct
0.049 0.049 0.201
0.201 0.201 0.049
0.799 0.799 0.951
0.951 0.951 0.799
0.125 0.125 0.625
0.375 0.375 0.375
0.375 0.375 0.875
0.625 0.625 0.125
0.625 0.625 0.625
0.875 0.875 0.375
0.155 0.483 0.262
0.262 0.600 0.155
0.400 0.738 0.517
0.483 0.155 0.600
0.517 0.845 0.400
0.600 0.262 0.483
0.738 0.400 0.845
0.845 0.517 0.738
```

Magnetization in μB per atom: 0.00
ΔE_f (raw) in kJ/mol of formula units: -543



Entry 25:
RbTaNi3 | GGA-PBEsol | optimized geometry

Cell and atoms, written as POSCAR:
```
RbTaNi3
1.0
4.702 0.000 0.000
0.000 4.702 0.000
0.000 0.000 4.702
Rb Ta Ni
1 1 3
direct
0.000 0.000 0.000
0.500 0.500 0.500
0.000 0.500 0.500
0.500 0.000 0.500
0.500 0.500 0.000
```

Formation enthalpy at 0 K in eV per atom: 1.19
Magnetization in μB per atom: 0.00



Entry 26:
Rb3TaNi | GGA-PBEsol | optimized geometry

Cell and atoms, written as POSCAR:
```
Rb3TaNi
1.0
6.687 0.000 0.000
0.000 6.687 0.000
0.000 0.000 6.687
Rb Ta Ni
3 1 1
direct
0.000 0.000 0.500
0.000 0.500 0.000
0.500 0.000 0.000
0.000 0.000 0.000
0.500 0.500 0.500
```

Formation enthalpy at 0 K in eV per atom: 2.04
Magnetization in μB per atom: 0.80



Entry 27:
RbTiNi3 | GGA-PBEsol | optimized geometry

Cell and atoms, written as POSCAR:
```
RbTiNi3
1.0
4.504 0.000 0.000
0.000 4.504 0.000
0.000 0.000 4.504
Rb Ti Ni
1 1 3
direct
0.000 0.000 0.000
0.500 0.500 0.500
0.000 0.000 0.500
0.000 0.500 0.000
0.500 0.000 0.000
```

Formation enthalpy at 0 K in eV per atom: 2.18
Magnetization in μB per atom: 0.37



Entry 28:
RbYTiNi2 | GGA-PBEsol | optimized geometry

Cell and atoms, written as POSCAR:
```
RbYTiNi2
1.0
4.677 0.000 0.000
0.000 4.677 0.000
0.000 0.000 4.714
Rb Y Ti Ni
1 1 1 2
direct
0.000 0.000 0.000
0.500 0.500 0.500
0.000 0.000 0.500
0.000 0.500 0.000
0.500 0.000 0.000
```

Formation enthalpy at 0 K in eV per atom: 1.65
Magnetization in μB per atom: 0.27



Entry 29:
ReNi3 | GGA-PBEsol | optimized geometry

Cell and atoms, written as POSCAR:
```
ReNi3
1.0
4.176 -1.280 0.000
4.176 1.280 0.000
-0.766 0.000 4.279
Re Ni
1 3
direct
0.000 0.000 0.000
0.249 0.249 0.751
0.500 0.500 0.500
0.751 0.751 0.249
```

Formation enthalpy at 0 K in eV per atom: -0.01
Magnetization in μB per atom: 0.00